A | Here is Sb2SeCl after structural relaxation from the Alexandria database. Energies are from GGA-PBEsol.

abc: 3.5453 3.5453 26.3726
angles: 90.00 90.00 120.00
Space group R-3m (No. 166, hexagonal axes)
Inequivalent atoms, fractional coordinates:
Sb1 0.0000 0.0000 0.2446 [6 per cell]
Se1 0.0000 0.0000 0.5000 [3 per cell]
Cl1 0.0000 0.0000 0.0000 [3 per cell]

Results
Calculated volume (Å³ per cell): 287.1
Total magnetic moment (μB/f.u.): 0.00


B | Here is Sb2SeCl after structural relaxation from the Alexandria database. Energies are from GGA-PBEsol.

abc: 3.775 3.775 7.018
angles: 90.00 90.00 90.00
Space group P4mm (No. 99)
Inequivalent atoms, fractional coordinates:
Sb1 0.000 0.000 0.000 [1 per cell]
Sb2 0.500 0.500 0.260 [1 per cell]
Se1 0.000 0.000 0.408 [1 per cell]
Cl1 0.500 0.500 0.738 [1 per cell]

Results
Calculated volume (Å³ per cell): 100.0
Total magnetic moment (μB/f.u.): 0.00


C | Here is Sb2SeCl after structural relaxation from the Alexandria database. Energies are from GGA-PBEsol.

abc: 7.117 7.117 7.117
angles: 90.00 90.00 90.00
Space group F-43m (No. 216)
Inequivalent atoms, fractional coordinates:
Sb1 0.000 0.000 0.000 [4 per cell]
Sb2 0.250 0.250 0.250 [4 per cell]
Se1 0.000 0.000 0.500 [4 per cell]
Cl1 0.250 0.250 0.750 [4 per cell]

Results
Calculated volume (Å³ per cell): 360.4
Total magnetic moment (μB/f.u.): 0.00


D | Here is Sb2SeCl after structural relaxation from the Alexandria database. Energies are from GGA-PBEsol.

abc: 3.462 5.834 9.772
angles: 90.00 90.00 90.00
Space group Cmm2 (No. 35)
Inequivalent atoms, fractional coordinates:
Sb1 0.000 0.000 0.000 [2 per cell]
Sb2 0.000 0.500 0.294 [2 per cell]
Se1 0.000 0.000 0.500 [2 per cell]
Cl1 0.000 0.500 0.784 [2 per cell]

Results
Calculated volume (Å³ per cell): 197.3
Total magnetic moment (μB/f.u.): 0.00


A wins, 19 meV per atom ahead of the next structure.